VASP calculation (PBE) on a relaxed structure of InRuW2.

Calculated values
* space-group type: Cmm2, No. 35
* calculated total energy: -9.14 eV per atom
* formation enthalpy at 0 K: 1.4 eV/f.u.

a = 2.835 Å, b = 2.835 Å, c = 8.984 Å
α = 90.00°, β = 90.00°, γ = 111.19°
Fractional coordinates of all 4 atoms:
In: 0.000 0.000 0.509
Ru: 0.500 0.500 0.763
W: 0.500 0.500 0.235
W: 0.000 0.000 0.993